No. 1
Density functional theory data (PBE) for a geometry-optimized CeHo2Ni structure.

## Properties
Its distance to the lowest polymorph of the same formula is 1.14 eV/f.u. The space group is R-3m, No. 166. As for the energy relative to the elements: 0.09 eV/atom. As for the density of states at the Fermi level: 7.5 states/eV/f.u.

Unit cell a=10.563 b=10.563 c=10.563 alpha=18.77 beta=18.77 gamma=18.77
Element x y z (fractional)
Ce: 0.000 0.000 0.000
Ho: 0.108 0.108 0.108
Ho: 0.892 0.892 0.892
Ni: 0.500 0.500 0.500

No. 2
Density functional theory data (PBE) for a geometry-optimized CeHo3Ni structure.

## Properties
The space group is Pm-3m, No. 221. As for the energy relative to the elements: 0.00 eV/atom. As for the density of states at the Fermi level: 13.1 states/eV/f.u.

Unit cell a=5.290 b=5.290 c=5.290 alpha=90.00 beta=90.00 gamma=90.00
Element x y z (fractional)
Ce: 0.000 0.000 0.000
Ho: 0.000 0.500 0.500
Ho: 0.500 0.000 0.500
Ho: 0.500 0.500 0.000
Ni: 0.500 0.500 0.500

No. 3
Density functional theory data (PBE) for a geometry-optimized Ce3HoNi8 structure.

## Properties
Its distance to the lowest polymorph of the same formula is 0.19 eV/f.u. The space group is P3m1, No. 156. As for the energy relative to the elements: -0.38 eV/atom. As for the density of states at the Fermi level: 17.4 states/eV/f.u.

Unit cell a=5.047 b=5.047 c=8.413 alpha=90.00 beta=90.00 gamma=120.00
Element x y z (fractional)
Ce: 0.000 0.000 0.000
Ce: 0.000 0.000 0.384
Ce: 0.333 0.667 0.892
Ho: 0.333 0.667 0.514
Ni: 0.341 0.170 0.698
Ni: 0.502 0.005 0.203
Ni: 0.502 0.498 0.203
Ni: 0.667 0.333 0.450
Ni: 0.667 0.333 0.954
Ni: 0.830 0.170 0.698
Ni: 0.830 0.659 0.698
Ni: 0.995 0.498 0.203